# Nb3VSn, optimized geometry, DFT PBE
data_Nb3VSn
_chemical_formula_sum 'Nb6 V2 Sn2'
_cell_length_a 5.4632
_cell_length_b 5.4357
_cell_length_c 7.2134
_cell_angle_alpha 77.85
_cell_angle_beta 70.11
_cell_angle_gamma 63.85
_space_group_name_H-M_alt 'P 1'
_space_group_IT_number 1
_space_group_name_Hall 'P 1'
loop_
_atom_site_label
_atom_site_fract_x
_atom_site_fract_y
_atom_site_fract_z
Nb1 0.4642 0.9476 0.5424
Nb2 0.9453 0.6555 0.1215
Nb3 0.4574 0.1723 0.1391
Nb4 0.9622 0.2488 0.9367
Nb5 0.4811 0.5409 0.3577
Nb6 0.9690 0.0241 0.3400
V1 0.9645 0.8725 0.7344
V2 0.4619 0.3240 0.7447
Sn1 0.9663 0.4460 0.5303
Sn2 0.4600 0.7504 0.9488
# energy of formation from the pure elements	-0.05	eV/atom
# E	-8.71	eV/atom
# SG	P-1
# relative energy among the computed polymorphs	0.0	meV per atom
# magnetization	0.000	Bohr magnetons per cell